1.
Computed, not measured: a PBEsol-optimized structure of Sr2AlCu2 at the meta-GGA SCAN level of DFT.

Lattice parameters (Å, degrees): 10.017 10.017 10.017 159.91 159.91 28.56
Fractional coordinates of all 5 atoms:
1 Sr 0.117 0.117 0.000
2 Sr 0.883 0.883 0.000
3 Al 0.500 0.500 0.000
4 Cu 0.250 0.750 0.500
5 Cu 0.750 0.250 0.500

SG: I4/mmm (139)



2.
Computed, not measured: a PBEsol-optimized structure of Tl3CrMo at the meta-GGA SCAN level of DFT.

Lattice parameters (Å, degrees): 5.263 5.263 5.263 90.00 90.00 90.00
Fractional coordinates of all 5 atoms:
1 Tl 0.000 0.000 0.500
2 Tl 0.000 0.500 0.000
3 Tl 0.500 0.000 0.000
4 Cr 0.500 0.500 0.500
5 Mo 0.000 0.000 0.000

SG: Pm-3m (221)



3.
Computed, not measured: a PBEsol-optimized structure of Mo2C at the meta-GGA SCAN level of DFT.

Lattice parameters (Å, degrees): 4.713 5.995 5.173 90.00 90.00 90.00
Fractional coordinates of all 12 atoms:
1 Mo 0.246 0.122 0.080
2 Mo 0.246 0.878 0.580
3 Mo 0.254 0.378 0.580
4 Mo 0.254 0.622 0.080
5 Mo 0.746 0.378 0.920
6 Mo 0.746 0.622 0.420
7 Mo 0.754 0.122 0.420
8 Mo 0.754 0.878 0.920
9 C 0.000 0.377 0.250
10 C 0.000 0.623 0.750
11 C 0.500 0.123 0.750
12 C 0.500 0.877 0.250

SG: Pbcn (60)



Number 1: magnetic moment 0.0 μB/cell, E_form 0.097 eV/atom. Number 2: magnetic moment 3.7 μB/cell, E_form 0.918 eV/atom. Number 3: magnetic moment 0.0 μB/cell, E_form -0.092 eV/atom.